# KAcU

KAcU after structural relaxation (PBE, the Open Quantum Materials Database).

Lattice parameters (Å, degrees): 5.989 5.989 5.989 60.00 60.00 60.00
Atoms (fractional coordinates):
U 0.000 0.000 0.000
Ac 0.250 0.250 0.250
K 0.750 0.750 0.750

The calculation puts the mass density at 5.51 g/cm³. The calculation puts the calculated total energy at -11.09 eV per formula unit. The value obtained for the total moment is 5.51 μB per cell. The value obtained for the excess energy over the best structure of this formula in the dataset is 0 meV per atom.